1.
This record from Alexandria describes a relaxed structure of Ba2VCl2O2. The functional is GGA+U.

For the raw total energy, the calculation gives -81.67 eV for the cell shown. The total magnetic moment is 3.00 μB/f.u. The crystal system is tetragonal.

The structure belongs to space group I4/mmm (No. 139); the cell edges are 4.366, 4.366 and 15.767 Å and the angles 90.00°, 90.00° and 90.00°. The distinct sites, in fractional coordinates, are Ba at (0.000, 0.000, 0.109), V at (0.000, 0.000, 0.500), Cl at (0.000, 0.000, 0.327) and O at (0.000, 0.500, 0.000).

=====

2.
This record from Alexandria describes a relaxed structure of Ba2WCl4O2. The functional is GGA+U.

For the raw total energy, the calculation gives -93.15 eV for the cell shown. The total magnetic moment is 0.03 μB/f.u. The crystal system is monoclinic.

The structure belongs to space group C2/m (No. 12); the cell edges are 11.017, 7.169 and 5.533 Å and the angles 90.00°, 105.11° and 90.00°. The distinct sites, in fractional coordinates, are Ba at (0.182, 0.000, 0.315), W at (0.000, 0.500, 0.000), Cl at (0.097, 0.237, 0.798) and O at (0.144, 0.500, 0.276).

=====

What did the second record say?
This record from Alexandria describes a relaxed structure of Ba2WCl4O2. The functional is GGA+U.

For the raw total energy, the calculation gives -93.15 eV for the cell shown. The total magnetic moment is 0.03 μB/f.u. The crystal system is monoclinic.

The structure belongs to space group C2/m (No. 12); the cell edges are 11.017, 7.169 and 5.533 Å and the angles 90.00°, 105.11° and 90.00°. The distinct sites, in fractional coordinates, are Ba at (0.182, 0.000, 0.315), W at (0.000, 0.500, 0.000), Cl at (0.097, 0.237, 0.798) and O at (0.144, 0.500, 0.276).

=====

> The highest raw total energy belongs to which entry?

Ba2VCl2O2

=====

> Which value of total magnetic moment does entry 2 give?

0.03 μB/f.u.

=====

> What is the total magnetic moment in the first record?

3.00 μB/f.u.